Computed, not measured: a relaxed Mg2InAu crystal at the PBE level of DFT.

Its total moment is 0.0 Bohr magnetons per cell. The crystal system is trigonal. For the energy of formation from the pure elements, the calculation gives -4.7 kcal/mol of atoms. The calculation puts the volume at 23.388 Å³ per atom. Its theoretical density is 6.4 g/cm3. As for the raw total energy: -2.504 eV/atom.

The space group is R3m (No. 160, hexagonal axes) and the conventional cell measures 3.7504, 3.7504 and 23.0407 Å, with angles of 90.00, 90.00 and 120.00 degrees. Symmetry generates all atoms from Mg at (0.0000, 0.0000, 0.0000), Mg at (0.0000, 0.0000, 0.1899), In at (0.0000, 0.0000, 0.7614) and Au at (0.0000, 0.0000, 0.5956).

***

Computed, not measured: a relaxed LaErCuGe crystal at the PBE level of DFT.

Its total moment is 0.0 Bohr magnetons per cell. The crystal system is cubic. For the energy of formation from the pure elements, the calculation gives -10.8 kcal/mol of atoms. The calculation puts the volume at 23.383 Å³ per atom. Its theoretical density is 7.9 g/cm3. As for the raw total energy: -5.017 eV/atom.

The space group is F-43m (No. 216) and the conventional cell measures 7.206, 7.206 and 7.206 Å, with angles of 90.00, 90.00 and 90.00 degrees. Symmetry generates all atoms from La at (0.000, 0.000, 0.000), Er at (0.000, 0.000, 0.500), Cu at (0.250, 0.250, 0.750) and Ge at (0.250, 0.250, 0.250).

***

Computed, not measured: a relaxed FeAs2Pd2 crystal at the PBE level of DFT.

Its total moment is 3.2 Bohr magnetons per cell. The crystal system is tetragonal. The distance to the lowest polymorph of the same formula comes out at 0.0 meV/atom. For the energy of formation from the pure elements, the calculation gives -1.9 kcal/mol of atoms. The calculation puts the volume at 16.074 Å³ per atom. Its theoretical density is 8.6 g/cm3. As for the raw total energy: -5.713 eV/atom.

The space group is P4/mbm (No. 127) and the conventional cell measures 6.092, 6.092 and 4.332 Å, with angles of 90.00, 90.00 and 90.00 degrees. Symmetry generates all atoms from Fe at (0.000, 0.000, 0.000), As at (0.140, 0.360, 0.000) and Pd at (0.221, 0.721, 0.500).

***

Computed, not measured: a relaxed Sn2HPd4 crystal at the PBE level of DFT.

Its total moment is 0.0 Bohr magnetons per cell. The crystal system is orthorhombic. The distance to the lowest polymorph of the same formula comes out at 76.3 meV/atom. The calculation puts the volume at 15.860 Å³ per atom. Its theoretical density is 9.9 g/cm3. As for the raw total energy: -4.925 eV/atom.

The space group is Pbam (No. 55) and the conventional cell measures 7.154, 9.541 and 3.253 Å, with angles of 90.00, 90.00 and 90.00 degrees. Symmetry generates all atoms from Sn at (0.062, 0.151, 0.000), H at (0.000, 0.500, 0.500), Pd at (0.132, 0.671, 0.500) and Pd at (0.194, 0.422, 0.000).

***

Computed, not measured: a relaxed RbBaP2Se8 crystal at the PBE level of DFT.

Its total moment is 0.0 Bohr magnetons per cell. The crystal system is monoclinic. As for the uncorrected formation energy: -0.48 eV per atom. The calculation puts the volume at 35.785 Å³ per atom. Its theoretical density is 3.5 g/cm3. As for the raw total energy: -3.943 eV/atom.

The space group is C2/m (No. 12) and the conventional cell measures 12.668, 6.923 and 10.045 Å, with angles of 90.00, 102.85 and 90.00 degrees. Symmetry generates all atoms from Rb at (0.000, 0.000, 0.000), Ba at (0.000, 0.500, 0.500), P at (0.240, 0.500, 0.282), Se at (0.083, 0.000, 0.679), Se at (0.133, 0.500, 0.081) and Se at (0.181, 0.235, 0.376).

***

Computed, not measured: a relaxed AcYCdNi crystal at the PBE level of DFT.

Its total moment is 0.0 Bohr magnetons per cell. The crystal system is cubic. For the energy of formation from the pure elements, the calculation gives -3.2 kcal/mol of atoms. The calculation puts the volume at 26.535 Å³ per atom. Its theoretical density is 7.6 g/cm3. As for the raw total energy: -4.457 eV/atom.

The space group is F-43m (No. 216) and the conventional cell measures 7.516, 7.516 and 7.516 Å, with angles of 90.00, 90.00 and 90.00 degrees. Symmetry generates all atoms from Ac at (0.000, 0.000, 0.000), Y at (0.000, 0.000, 0.500), Cd at (0.250, 0.250, 0.250) and Ni at (0.250, 0.250, 0.750).

***

Computed, not measured: a relaxed CsCoAs2 crystal at the PBE level of DFT.

Its total moment is 0.0 Bohr magnetons per cell. The crystal system is trigonal. The distance to the lowest polymorph of the same formula comes out at 0.0 meV/atom. For the energy of formation from the pure elements, the calculation gives -4.7 kcal/mol of atoms. The calculation puts the volume at 24.052 Å³ per atom. Its theoretical density is 5.9 g/cm3. As for the raw total energy: -4.519 eV/atom.

The space group is R-3m (No. 166, hexagonal axes) and the conventional cell measures 3.9107, 3.9107 and 21.7922 Å, with angles of 90.00, 90.00 and 120.00 degrees. Symmetry generates all atoms from Cs at (0.0000, 0.0000, 0.0000), Co at (0.0000, 0.0000, 0.5000) and As at (0.0000, 0.0000, 0.2067).

***

Computed, not measured: a relaxed BeCuPb crystal at the PBE level of DFT.

Its total moment is 0.0 Bohr magnetons per cell. The crystal system is orthorhombic. The distance to the lowest polymorph of the same formula comes out at 1.7 meV/atom. For the energy of formation from the pure elements, the calculation gives 9.3 kcal/mol of atoms. The calculation puts the volume at 17.610 Å³ per atom. Its theoretical density is 8.8 g/cm3. As for the raw total energy: -3.439 eV/atom.

The space group is Fmm2 (No. 42) and the conventional cell measures 4.433, 4.441 and 10.734 Å, with angles of 90.00, 90.00 and 90.00 degrees. Symmetry generates all atoms from Be at (0.000, 0.000, 0.000), Cu at (0.000, 0.000, 0.437) and Pb at (0.000, 0.000, 0.719).

***

Computed, not measured: a relaxed YMg2Ga9 crystal at the PBE level of DFT.

Its total moment is 0.0 Bohr magnetons per cell. The crystal system is tetragonal. For the energy of formation from the pure elements, the calculation gives -5.4 kcal/mol of atoms. The calculation puts the volume at 18.866 Å³ per atom. Its theoretical density is 5.6 g/cm3. As for the raw total energy: -3.309 eV/atom.

The space group is P4/mmm (No. 123) and the conventional cell measures 4.235, 4.235 and 12.625 Å, with angles of 90.00, 90.00 and 90.00 degrees. Symmetry generates all atoms from Y at (0.000, 0.000, 0.000), Mg at (0.000, 0.000, 0.336), Ga at (0.000, 0.500, 0.176), Ga at (0.000, 0.500, 0.500), Ga at (0.500, 0.500, 0.000) and Ga at (0.500, 0.500, 0.333).

***

Computed, not measured: a relaxed Pr2Nd3In7 crystal at the PBE level of DFT.

Its total moment is 0.0 Bohr magnetons per cell. The crystal system is orthorhombic. For the energy of formation from the pure elements, the calculation gives -5.8 kcal/mol of atoms. The calculation puts the volume at 31.005 Å³ per atom. Its theoretical density is 6.8 g/cm3. As for the raw total energy: -3.837 eV/atom.

The space group is Cmmm (No. 65) and the conventional cell measures 5.279, 25.473 and 5.534 Å, with angles of 90.00, 90.00 and 90.00 degrees. Symmetry generates all atoms from Pr at (0.000, 0.144, 0.000), Nd at (0.000, 0.345, 0.500), Nd at (0.000, 0.500, 0.500), In at (0.000, 0.000, 0.000), In at (0.000, 0.076, 0.500), In at (0.000, 0.275, 0.000) and In at (0.000, 0.429, 0.000).

***

Computed, not measured: a relaxed LaSm2Mg4 crystal at the PBE level of DFT.

Its total moment is 0.0 Bohr magnetons per cell. The crystal system is trigonal. For the energy of formation from the pure elements, the calculation gives 1.9 kcal/mol of atoms. The calculation puts the volume at 28.686 Å³ per atom. Its theoretical density is 4.4 g/cm3. As for the raw total energy: -2.881 eV/atom.

The space group is R-3m (No. 166, hexagonal axes) and the conventional cell measures 5.4006, 5.4006 and 23.8494 Å, with angles of 90.00, 90.00 and 120.00 degrees. Symmetry generates all atoms from La at (0.0000, 0.0000, 0.0000), Sm at (0.0000, 0.0000, 0.2852), Mg at (0.0000, 0.0000, 0.1409) and Mg at (0.0000, 0.0000, 0.4308).

***

Computed, not measured: a relaxed CeDy6Y8 crystal at the PBE level of DFT.

Its total moment is 1.2 Bohr magnetons per cell. The crystal system is trigonal. For the energy of formation from the pure elements, the calculation gives 6.0 kcal/mol of atoms. The calculation puts the volume at 33.718 Å³ per atom. Its theoretical density is 6.0 g/cm3. As for the raw total energy: -5.426 eV/atom.

The space group is P-3 (No. 147) and the conventional cell measures 9.4156, 9.4156 and 6.5875 Å, with angles of 90.00, 90.00 and 120.00 degrees. Symmetry generates all atoms from Ce at (0.0000, 0.0000, 0.0000), Dy at (0.0851, 0.6783, 0.0935), Y at (0.0274, 0.3378, 0.3990) and Y at (0.3333, 0.6667, 0.6821).

***

Question: Which formula does entry 4 have?
Answer: Sn2HPd4

***

What did the second record say?
Computed, not measured: a relaxed LaErCuGe crystal at the PBE level of DFT.

Its total moment is 0.0 Bohr magnetons per cell. The crystal system is cubic. For the energy of formation from the pure elements, the calculation gives -10.8 kcal/mol of atoms. The calculation puts the volume at 23.383 Å³ per atom. Its theoretical density is 7.9 g/cm3. As for the raw total energy: -5.017 eV/atom.

The space group is F-43m (No. 216) and the conventional cell measures 7.206, 7.206 and 7.206 Å, with angles of 90.00, 90.00 and 90.00 degrees. Symmetry generates all atoms from La at (0.000, 0.000, 0.000), Er at (0.000, 0.000, 0.500), Cu at (0.250, 0.250, 0.750) and Ge at (0.250, 0.250, 0.250).

***

Question: raw total energy of number 11 (LaSm2Mg4)?
Answer: -2.881 eV/atom